[1]
Computed, not measured: crystalline Cr3CdP at its relaxed geometry at the GGA-PBE level of DFT.

abc: 4.380 4.380 4.380
angles: 90.00 90.00 90.00
Atoms (fractional coordinates):
Cr 0.000 0.500 0.000
Cr 0.000 0.000 0.500
Cr 0.500 0.000 0.000
P 0.000 0.000 0.000
Cd 0.500 0.500 0.500

Calculated values
Formation energy ... 37.4 kJ per mole of atoms
Offset from the most stable computed form ... 0.0 meV per atom
Volume ... 16.8 Å³ per atom
Total magnetization ... 7.36 μB/f.u.
Symmetry ... Pm-3m (221)
N(E_F) ... 3.5 states/eV/f.u.

---

[2]
Computed, not measured: crystalline Y2AgSeS3 at its relaxed geometry at the GGA-PBE level of DFT.

abc: 8.013 8.013 8.013
angles: 60.18 60.18 60.18
Atoms (fractional coordinates):
Y 0.000 0.000 0.000
Y 0.500 0.000 0.000
Y 0.000 0.500 0.000
Y 0.000 0.000 0.500
Ag 0.388 0.388 0.388
Ag 0.612 0.612 0.612
Se 0.748 0.748 0.748
Se 0.252 0.252 0.252
S 0.223 0.758 0.758
S 0.758 0.223 0.758
S 0.758 0.758 0.223
S 0.777 0.242 0.242
S 0.242 0.777 0.242
S 0.242 0.242 0.777

Calculated values
Volume ... 26.1 Å³ per atom
Total magnetization ... 0.00 μB/f.u.
ΔE_f (raw) ... -1373 meV/atom
Symmetry ... R-3m (166)
N(E_F) ... 4.1 states/eV/f.u.

---

[3]
Computed, not measured: crystalline Pa6FeCl15 at its relaxed geometry at the GGA-PBE level of DFT.

abc: 9.551 9.551 9.551
angles: 109.47 109.47 109.47
Atoms (fractional coordinates):
Pa 0.760 0.000 0.760
Pa 0.760 0.760 0.000
Pa 0.000 0.240 0.240
Pa 0.240 0.000 0.240
Pa 0.240 0.240 0.000
Pa 0.000 0.760 0.760
Fe 0.000 0.000 0.000
Cl 0.752 0.000 0.248
Cl 0.752 0.248 0.000
Cl 0.504 0.752 0.752
Cl 0.248 0.496 0.248
Cl 0.248 0.248 0.496
Cl 0.496 0.248 0.248
Cl 0.752 0.504 0.752
Cl 0.248 0.752 0.000
Cl 0.000 0.752 0.248
Cl 0.248 0.000 0.752
Cl 0.752 0.752 0.504
Cl 0.000 0.248 0.752
Cl 0.500 0.000 0.500
Cl 0.500 0.500 0.000
Cl 0.000 0.500 0.500

Calculated values
Volume ... 30.5 Å³ per atom
Total magnetization ... 5.34 μB/f.u.
ΔE_f (raw) ... -1600 meV/atom
Symmetry ... Im-3m (229)
N(E_F) ... 30.4 states/eV/f.u.

---

[4]
Computed, not measured: crystalline Ag2RuAu at its relaxed geometry at the GGA-PBE level of DFT.

abc: 5.081 5.081 5.060
angles: 81.65 81.65 31.29
Atoms (fractional coordinates):
Ag 0.004 0.004 0.994
Ag 0.496 0.496 0.506
Au 0.250 0.250 0.250
Ru 0.750 0.750 0.750

Calculated values
Formation energy ... 32.9 kJ per mole of atoms
Offset from the most stable computed form ... 43.6 meV per atom
Volume ... 16.8 Å³ per atom
Total magnetization ... 0.07 μB/f.u.
Symmetry ... C2/m (12)
N(E_F) ... 3.1 states/eV/f.u.

---

[5]
Computed, not measured: crystalline TbTmH at its relaxed geometry at the GGA-PBE level of DFT.

abc: 3.597 3.597 5.539
angles: 90.00 90.00 120.00
Atoms (fractional coordinates):
H 0.333 0.667 0.663
Tm 0.667 0.333 0.424
Tb 0.000 0.000 0.913

Calculated values
Offset from the most stable computed form ... 0.0 meV per atom
Volume ... 20.7 Å³ per atom
Total magnetization ... 0.00 μB/f.u.
Symmetry ... P3m1 (156)
N(E_F) ... 3.1 states/eV/f.u.

---

[6]
Computed, not measured: crystalline Ac2SiSn3Pt4 at its relaxed geometry at the GGA-PBE level of DFT.

abc: 4.679 4.679 10.450
angles: 90.00 90.00 90.00
Atoms (fractional coordinates):
Ac 0.500 0.000 0.252
Ac 0.000 0.500 0.748
Si 0.500 0.500 0.500
Sn 0.000 0.000 0.500
Sn 0.500 0.000 0.870
Sn 0.000 0.500 0.130
Pt 0.500 0.500 0.000
Pt 0.000 0.000 0.000
Pt 0.500 0.000 0.613
Pt 0.000 0.500 0.387

Calculated values
Volume ... 22.9 Å³ per atom
Total magnetization ... 0.00 μB/f.u.
ΔE_f (raw) ... -890 meV/atom
Symmetry ... P-4m2 (115)
N(E_F) ... 5.8 states/eV/f.u.

---

[7]
Computed, not measured: crystalline KAcSeI at its relaxed geometry at the GGA-PBE level of DFT.

abc: 4.462 4.462 9.086
angles: 90.01 104.21 119.99
Atoms (fractional coordinates):
K 0.495 0.145 0.656
Ac 0.114 0.955 0.083
Se 0.312 0.554 0.881
I 0.957 0.377 0.349

Calculated values
Volume ... 37.6 Å³ per atom
Total magnetization ... 0.00 μB/f.u.
ΔE_f (raw) ... -1423 meV/atom
Symmetry ... R3m (160)
N(E_F) ... 2.7 states/eV/f.u.

---

[8]
Computed, not measured: crystalline ZnPPt at its relaxed geometry at the GGA-PBE level of DFT.

abc: 4.505 4.505 4.505
angles: 135.15 135.15 65.30
Atoms (fractional coordinates):
Zn 0.330 0.330 0.000
P 0.997 0.997 0.000
Pt 0.673 0.673 0.000

Calculated values
Formation energy ... -8.5 kJ per mole of atoms
Offset from the most stable computed form ... 234.8 meV per atom
Volume ... 14.9 Å³ per atom
Total magnetization ... 0.00 μB/f.u.
Symmetry ... I4mm (107)
N(E_F) ... 0.9 states/eV/f.u.

---

- Which of these has the lowest volume?
  ZnPPt

---

Copy entry 6 word for word.
Computed, not measured: crystalline Ac2SiSn3Pt4 at its relaxed geometry at the GGA-PBE level of DFT.

abc: 4.679 4.679 10.450
angles: 90.00 90.00 90.00
Atoms (fractional coordinates):
Ac 0.500 0.000 0.252
Ac 0.000 0.500 0.748
Si 0.500 0.500 0.500
Sn 0.000 0.000 0.500
Sn 0.500 0.000 0.870
Sn 0.000 0.500 0.130
Pt 0.500 0.500 0.000
Pt 0.000 0.000 0.000
Pt 0.500 0.000 0.613
Pt 0.000 0.500 0.387

Calculated values
Volume ... 22.9 Å³ per atom
Total magnetization ... 0.00 μB/f.u.
ΔE_f (raw) ... -890 meV/atom
Symmetry ... P-4m2 (115)
N(E_F) ... 5.8 states/eV/f.u.